VTcSe4 | GGA-PBE | optimized geometry

Computed properties:
The value obtained for the formation energy (no corrections) is -56.3 kJ per mole of atoms. The calculated total energy is -6.15 eV per atom. The calculation puts the volume at 22.67 Å³ per atom.

The structure in CIF format:
```
data_VTcSe4
_space_group_name_H-M_alt 'P 1'
_space_group_IT_number 1
_space_group_name_Hall 'P 1'
_cell_length_a 3.245
_cell_length_b 7.451
_cell_length_c 5.868
_cell_angle_alpha 100.55
_cell_angle_beta 90.00
_cell_angle_gamma 102.58
loop_
_atom_site_label
_atom_site_type_symbol
_atom_site_fract_x
_atom_site_fract_y
_atom_site_fract_z
Se1 Se 0.373 0.746 0.106
Se2 Se 0.595 0.191 0.875
Se3 Se 0.904 0.808 0.636
Tc1 Tc 0.505 0.011 0.446
Se4 Se 0.128 0.255 0.383
V1 V 0.995 0.989 0.055
```